Mn2ZnTc after structural relaxation. Source: Alexandria, functional PBE-GGA.

* E: -29.4 eV per cell
* energy of formation: 0.137 eV/atom

Geometry as POSCAR:
```
Mn2ZnTc
1.0
4.9248 -0.0010 0.0483
2.2609 4.3751 -0.0483
-3.1541 -2.9077 2.4192
Mn Tc Zn
2 1 1
Direct
0.9889 0.9889 0.0000
0.7519 0.2519 0.5000
0.5139 0.5139 0.0000
0.2453 0.7453 0.5000
```

=====

Mn2ZnTc after structural relaxation. Source: Alexandria, functional PBE-GGA.

* E: -29.3 eV per cell
* energy of formation: 0.178 eV/atom

Geometry as POSCAR:
```
Mn2ZnTc
1.0
-1.6799 -3.2712 1.3003
0.0640 -1.4151 -3.4772
3.1707 -1.3816 0.6207
Mn Tc Zn
2 1 1
Direct
0.0000 0.0000 0.0000
0.5000 0.5000 0.0000
0.5000 0.0000 0.5000
0.0000 0.5000 0.5000
```

=====

MnZnTc2 after structural relaxation. Source: Alexandria, functional PBE-GGA.

* E: -30.7 eV per cell
* energy of formation: 0.131 eV/atom

Geometry as POSCAR:
```
MnZnTc2
1.0
-3.7575 1.8390 0.0042
-0.5295 -1.0871 2.3188
1.7161 3.4986 3.4823
Mn Tc Zn
1 2 1
Direct
0.5000 0.7500 0.7500
0.0000 0.9655 0.9986
0.0000 0.5345 0.5014
0.5000 0.2500 0.2500
```

=====

MnZnTc2 after structural relaxation. Source: Alexandria, functional PBE-GGA.

* E: -58.0 eV per cell
* energy of formation: 0.542 eV/atom

Geometry as POSCAR:
```
MnZnTc2
1.0
6.9250 0.0000 0.0000
0.0000 6.9250 0.0000
3.4625 3.4625 2.5220
Zn Mn Tc
2 2 4
Direct
0.0000 0.0000 0.0000
0.7500 0.2500 0.5000
0.5000 0.5000 0.0000
0.2500 0.7500 0.5000
0.5679 0.1250 0.2500
0.1821 0.6250 0.2500
0.3750 0.4321 0.7500
0.8750 0.8179 0.7500
```

=====

MnZn4Tc after structural relaxation. Source: Alexandria, functional PBE-GGA.

* E: -24.0 eV per cell
* energy of formation: 0.110 eV/atom

Geometry as POSCAR:
```
MnZn4Tc
1.0
-3.3187 0.3941 3.5967
-0.9292 4.3803 2.0138
-4.2889 2.2331 -0.8510
Mn Zn Tc
1 4 1
Direct
0.7500 0.7500 0.7500
0.8763 0.3746 0.3746
0.3746 0.3746 0.8763
0.3746 0.8763 0.3746
0.3746 0.3746 0.3746
0.0000 0.0000 0.0000
```

=====

MnZnTc2 after structural relaxation. Source: Alexandria, functional PBE-GGA.

* E: -30.8 eV per cell
* energy of formation: 0.105 eV/atom

Geometry as POSCAR:
```
MnZnTc2
1.0
-3.4012 5.4930 -6.0104
-1.6938 4.1434 -7.6045
-4.1550 3.1516 -7.1182
Mn Tc Zn
1 2 1
Direct
0.7500 0.7500 0.7500
0.0052 0.0052 0.0052
0.4948 0.4948 0.4948
0.2500 0.2500 0.2500
```

=====

Mn2ZnTc after structural relaxation. Source: Alexandria, functional PBE-GGA.

* E: -29.3 eV per cell
* energy of formation: 0.177 eV/atom

Geometry as POSCAR:
```
Mn2ZnTc
1.0
2.5811 0.0372 0.0000
-0.6874 2.4882 0.0000
0.0000 0.0000 8.0988
Mn Tc Zn
2 1 1
Direct
0.0000 0.0000 0.0152
0.5000 0.5000 0.2402
0.0000 0.0000 0.4846
0.5000 0.5000 0.7601
```

=====

MnZnTc2 after structural relaxation. Source: Alexandria, functional PBE-GGA.

* E: -30.8 eV per cell
* energy of formation: 0.094 eV/atom

Geometry as POSCAR:
```
MnZnTc2
1.0
-2.3799 -8.5665 0.4623
0.0998 -8.8754 -0.6929
-0.1277 -8.6646 2.0425
Mn Tc Zn
1 2 1
Direct
0.7499 0.7499 0.7499
0.9988 0.9988 0.9988
0.2525 0.2525 0.2525
0.4988 0.4988 0.4988
```